Record 1
A crystal of CoSiNi2 relaxed with PBEsol, computed with meta-GGA SCAN.

## Properties
DOS at the Fermi energy: 1.34 states/eV/cell
Total magnetization: 0.30 μB per atom
Calculated volume: 41 Å³ per cell
E: -15.285 eV/atom
Raw formation energy: -368 meV/atom

Cell: 3.418 3.418 3.523 Å, 90.00 90.00 90.00°
Site moments in Bohr magnetons follow the coordinates.
Positions (direct):
Ni1 0.000 0.500 0.000  0.29
Ni2 0.500 0.000 0.000  0.29
Si1 0.500 0.500 0.500  -0.04
Co1 0.000 0.000 0.500  0.83

---

Record 2
A crystal of AlNiW3 relaxed with PBEsol, computed with meta-GGA SCAN.

## Properties
DOS at the Fermi energy: 4.62 states/eV/cell
Formation energy: 2.243 eV per atom
Total magnetization: 0.00 μB per atom
Calculated volume: 87 Å³ per cell
E: -44.355 eV/atom

Cell: 4.438 4.438 4.438 Å, 90.00 90.00 90.00°
Positions (direct):
W1 0.000 0.000 0.500
W2 0.000 0.500 0.000
W3 0.500 0.000 0.000
Al1 0.000 0.000 0.000
Ni1 0.500 0.500 0.500

---

Among the records above, which one has the lowest calculated volume?
CoSiNi2

---

Which formula does entry 1 have?
CoSiNi2

---

Look up the total magnetization of the first one.
0.30 μB per atom

---

Among the records above, which one has the highest E?
CoSiNi2